Version P
The following is a PBE calculation of a relaxed structure of Pr12HoEr6, from Alexandria.

```
Pr12HoEr6
1.0
7.451 4.302 3.520
-7.451 4.302 3.520
0.000 -8.603 3.520
Pr Ho Er
12 1 6
Direct
0.132 0.277 0.828
0.172 0.868 0.723
0.193 0.484 0.582
0.277 0.828 0.132
0.418 0.807 0.516
0.484 0.582 0.193
0.516 0.418 0.807
0.582 0.193 0.484
0.723 0.172 0.868
0.807 0.516 0.418
0.828 0.132 0.277
0.868 0.723 0.172
0.000 0.000 0.000
0.076 0.456 0.190
0.190 0.076 0.456
0.456 0.190 0.076
0.544 0.810 0.924
0.810 0.924 0.544
0.924 0.544 0.810
```

Properties
Total moment, μB/f.u.: 0.00

=====

Version Q
The following is a PBE calculation of a relaxed structure of Pr12HoEr6, from Alexandria.

```
Pr12HoEr6
1.0
6.104 3.524 5.131
-6.104 3.524 5.131
0.000 -7.048 5.131
Pr Ho Er
12 1 6
Direct
0.019 0.192 0.364
0.192 0.364 0.019
0.217 0.464 0.567
0.364 0.019 0.192
0.433 0.783 0.536
0.464 0.567 0.217
0.536 0.433 0.783
0.567 0.217 0.464
0.636 0.981 0.808
0.783 0.536 0.433
0.808 0.636 0.981
0.981 0.808 0.636
0.000 0.000 0.000
0.100 0.707 0.258
0.258 0.100 0.707
0.293 0.742 0.900
0.707 0.258 0.100
0.742 0.900 0.293
0.900 0.293 0.742
```

Properties
Total moment, μB/f.u.: 0.00

=====

Name the least stable of them. version P.

=====

Version P
The following is a PBE calculation of a relaxed structure of Pr12HoEr7, from Alexandria.

```
Pr12HoEr7
1.0
7.656 4.420 3.387
-7.656 4.420 3.387
0.000 -8.840 3.387
Pr Ho Er
12 1 7
Direct
0.055 0.295 0.407
0.220 0.674 0.379
0.295 0.407 0.055
0.326 0.621 0.780
0.379 0.220 0.674
0.407 0.055 0.295
0.593 0.945 0.705
0.621 0.780 0.326
0.674 0.379 0.220
0.705 0.593 0.945
0.780 0.326 0.621
0.945 0.705 0.593
0.000 0.000 0.000
0.007 0.897 0.317
0.103 0.683 0.993
0.317 0.007 0.897
0.500 0.500 0.500
0.683 0.993 0.103
0.897 0.317 0.007
0.993 0.103 0.683
```

Properties
Total moment, μB/f.u.: 0.00

=====

Version Q
The following is a PBE calculation of a relaxed structure of Pr12HoEr7, from Alexandria.

```
Pr12HoEr7
1.0
9.851 5.687 2.087
-9.851 5.687 2.087
0.000 -11.375 2.087
Pr Ho Er
12 1 7
Direct
0.001 0.413 0.589
0.082 0.083 0.434
0.083 0.434 0.082
0.411 0.999 0.587
0.413 0.589 0.001
0.434 0.082 0.083
0.566 0.918 0.917
0.587 0.411 0.999
0.589 0.001 0.413
0.917 0.566 0.918
0.918 0.917 0.566
0.999 0.587 0.411
0.500 0.500 0.500
0.000 0.000 0.000
0.133 0.377 0.376
0.376 0.133 0.377
0.377 0.376 0.133
0.623 0.624 0.867
0.624 0.867 0.623
0.867 0.623 0.624
```

Properties
Total moment, μB/f.u.: 0.00

=====

Name the least stable of them. version Q.

=====

Version P
The following is a PBE calculation of a relaxed structure of Pr2HoEr5, from Alexandria.

```
Pr2HoEr5
1.0
8.073 -4.929 0.000
8.073 4.929 0.000
-1.110 0.000 6.469
Pr Ho Er
4 2 10
Direct
0.165 0.674 0.880
0.326 0.835 0.620
0.674 0.165 0.380
0.835 0.326 0.120
0.000 0.500 0.000
0.500 0.000 0.500
0.012 0.189 0.649
0.189 0.012 0.149
0.214 0.388 0.471
0.388 0.214 0.971
0.440 0.560 0.250
0.560 0.440 0.750
0.612 0.786 0.029
0.786 0.612 0.529
0.811 0.988 0.851
0.988 0.811 0.351
```

Properties
Total moment, μB/f.u.: 0.00

=====

Version Q
The following is a PBE calculation of a relaxed structure of Pr2HoEr5, from Alexandria.

```
Pr2HoEr5
1.0
7.119 0.000 0.000
0.000 14.240 0.000
0.000 0.000 5.033
Pr Ho Er
4 2 10
Direct
0.250 0.125 0.000
0.250 0.625 0.000
0.750 0.375 0.000
0.750 0.875 0.000
0.000 0.000 0.500
0.500 0.500 0.500
0.000 0.500 0.500
0.001 0.750 0.500
0.250 0.375 0.000
0.250 0.875 0.000
0.499 0.250 0.500
0.500 0.000 0.500
0.501 0.750 0.500
0.750 0.125 0.000
0.750 0.625 0.000
0.999 0.250 0.500
```

Properties
Total moment, μB/f.u.: 0.00

=====

Name the least stable of them. version P.

=====

Version P
The following is a PBE calculation of a relaxed structure of PrHo4Er6, from Alexandria.

```
PrHo4Er6
1.0
-3.838 3.838 6.407
3.838 -3.838 6.407
3.838 3.838 -6.407
Pr Ho Er
1 4 6
Direct
0.000 0.000 0.000
0.260 0.260 0.670
0.410 0.740 0.000
0.590 0.590 0.330
0.740 0.410 0.000
0.000 0.500 0.500
0.066 0.561 0.000
0.439 0.439 0.505
0.500 0.000 0.500
0.561 0.066 0.000
0.934 0.934 0.495
```

Properties
Total moment, μB/f.u.: 0.00

=====

Version Q
The following is a PBE calculation of a relaxed structure of PrHo4Er6, from Alexandria.

```
PrHo4Er6
1.0
2.813 -4.824 0.000
2.813 4.824 0.000
0.000 0.000 25.537
Pr Ho Er
2 8 12
Direct
0.174 0.826 0.750
0.826 0.174 0.250
0.164 0.836 0.041
0.164 0.836 0.459
0.490 0.510 0.121
0.490 0.510 0.379
0.510 0.490 0.621
0.510 0.490 0.879
0.836 0.164 0.541
0.836 0.164 0.959
0.158 0.842 0.180
0.158 0.842 0.320
0.175 0.825 0.601
0.175 0.825 0.899
0.493 0.507 0.250
0.500 0.500 0.000
0.500 0.500 0.500
0.507 0.493 0.750
0.825 0.175 0.101
0.825 0.175 0.399
0.842 0.158 0.680
0.842 0.158 0.820
```

Properties
Total moment, μB/f.u.: 0.00

=====

Name the least stable of them. version P.

=====

Version P
The following is a PBE calculation of a relaxed structure of Pr2Ho9Er, from Alexandria.

```
Pr2Ho9Er
1.0
11.250 0.000 0.000
-5.625 9.742 0.000
0.000 0.000 3.486
Pr Ho Er
2 9 1
Direct
0.333 0.667 0.000
0.667 0.333 0.000
0.000 0.500 0.000
0.173 0.346 0.500
0.173 0.827 0.500
0.346 0.173 0.500
0.500 0.000 0.000
0.500 0.500 0.000
0.654 0.827 0.500
0.827 0.173 0.500
0.827 0.654 0.500
0.000 0.000 0.000
```

Properties
Total moment, μB/f.u.: 0.00

=====

Version Q
The following is a PBE calculation of a relaxed structure of Pr2Ho9Er, from Alexandria.

```
Pr2Ho9Er
1.0
5.027 0.000 0.000
0.000 5.027 0.000
0.000 0.000 15.075
Pr Ho Er
2 9 1
Direct
0.000 0.000 0.167
0.000 0.000 0.833
0.000 0.500 0.000
0.000 0.500 0.336
0.000 0.500 0.664
0.500 0.000 0.000
0.500 0.000 0.336
0.500 0.000 0.664
0.500 0.500 0.169
0.500 0.500 0.500
0.500 0.500 0.831
0.000 0.000 0.500
```

Properties
Total moment, μB/f.u.: 0.00

=====

Name the least stable of them. version P.

=====

Version P
The following is a PBE calculation of a relaxed structure of Pr7Ho3Er2, from Alexandria.

```
Pr7Ho3Er2
1.0
6.505 0.000 0.000
0.000 3.577 0.000
-1.795 0.000 17.567
Pr Ho Er
7 3 2
Direct
0.000 0.000 0.000
0.225 0.500 0.173
0.258 0.500 0.493
0.277 0.000 0.832
0.723 0.000 0.168
0.742 0.500 0.507
0.775 0.500 0.827
0.457 0.000 0.340
0.500 0.500 0.000
0.543 0.000 0.660
0.060 0.500 0.670
0.940 0.500 0.330
```

Properties
Total moment, μB/f.u.: 0.00

=====

Version Q
The following is a PBE calculation of a relaxed structure of Pr7Ho3Er2, from Alexandria.

```
Pr7Ho3Er2
1.0
2.922 -19.243 0.000
2.922 19.243 0.000
0.000 0.000 3.643
Pr Ho Er
7 3 2
Direct
0.000 0.000 0.000
0.073 0.927 0.500
0.233 0.767 0.000
0.406 0.594 0.000
0.594 0.406 0.000
0.767 0.233 0.000
0.927 0.073 0.500
0.316 0.684 0.500
0.500 0.500 0.500
0.684 0.316 0.500
0.149 0.851 0.000
0.851 0.149 0.000
```

Properties
Total moment, μB/f.u.: 0.00

=====

Name the least stable of them. version Q.

=====

Version P
The following is a PBE calculation of a relaxed structure of Pr4Ho3Er8, from Alexandria.

```
Pr4Ho3Er8
1.0
6.693 -6.426 0.000
6.693 6.426 0.000
-3.364 0.000 5.836
Pr Ho Er
4 3 8
Direct
0.000 0.000 0.000
0.000 0.000 0.500
0.000 0.500 0.000
0.500 0.000 0.000
0.000 0.500 0.500
0.500 0.000 0.500
0.500 0.500 0.000
0.256 0.744 0.000
0.268 0.268 0.514
0.271 0.271 0.038
0.364 0.636 0.500
0.636 0.364 0.500
0.729 0.729 0.962
0.732 0.732 0.486
0.744 0.256 0.000
```

Properties
Total moment, μB/f.u.: 0.01

=====

Version Q
The following is a PBE calculation of a relaxed structure of Pr4Ho3Er8, from Alexandria.

```
Pr4Ho3Er8
1.0
3.470 2.004 11.816
-3.470 2.004 11.816
0.000 -4.007 11.816
Pr Ho Er
4 3 8
Direct
0.000 0.000 0.000
0.163 0.163 0.163
0.500 0.500 0.500
0.837 0.837 0.837
0.000 0.500 0.500
0.500 0.000 0.500
0.500 0.500 0.000
0.249 0.249 0.746
0.249 0.746 0.249
0.254 0.751 0.751
0.256 0.256 0.256
0.744 0.744 0.744
0.746 0.249 0.249
0.751 0.254 0.751
0.751 0.751 0.254
```

Properties
Total moment, μB/f.u.: 0.00

=====

Name the least stable of them. version P.

=====

Version P
The following is a PBE calculation of a relaxed structure of Pr4HoEr4, from Alexandria.

```
Pr4HoEr4
1.0
-5.410 5.410 2.536
5.410 -5.410 2.536
5.410 5.410 -2.536
Pr Ho Er
4 1 4
Direct
0.167 0.167 0.333
0.167 0.833 0.000
0.833 0.167 0.000
0.833 0.833 0.667
0.500 0.500 0.000
0.164 0.500 0.664
0.500 0.164 0.664
0.500 0.836 0.336
0.836 0.500 0.336
```

Properties
Total moment, μB/f.u.: 0.00

=====

Version Q
The following is a PBE calculation of a relaxed structure of Pr4HoEr4, from Alexandria.

```
Pr4HoEr4
1.0
5.658 0.000 0.000
0.004 6.775 0.000
2.806 3.321 7.835
Pr Ho Er
4 1 4
Direct
0.135 0.309 0.234
0.279 0.844 0.940
0.721 0.156 0.060
0.865 0.691 0.766
0.500 0.000 0.500
0.072 0.767 0.360
0.379 0.426 0.739
0.621 0.574 0.261
0.928 0.233 0.640
```

Properties
Total moment, μB/f.u.: 0.00

=====

Name the least stable of them. version Q.

=====

Version P
The following is a PBE calculation of a relaxed structure of PrHo6Er2, from Alexandria.

```
PrHo6Er2
1.0
2.797 -14.501 0.000
2.797 14.501 0.000
0.000 0.000 3.478
Pr Ho Er
1 6 2
Direct
0.000 0.000 0.000
0.113 0.887 0.500
0.223 0.777 0.500
0.443 0.557 0.500
0.557 0.443 0.500
0.777 0.223 0.500
0.887 0.113 0.500
0.333 0.667 0.000
0.667 0.333 0.000
```

Properties
Total moment, μB/f.u.: 0.00

=====

Version Q
The following is a PBE calculation of a relaxed structure of PrHo6Er2, from Alexandria.

```
PrHo6Er2
1.0
3.654 2.110 6.353
-3.654 2.110 6.353
0.000 -4.220 6.353
Pr Ho Er
1 6 2
Direct
0.000 0.000 0.000
0.296 0.730 0.730
0.465 0.944 0.944
0.730 0.296 0.730
0.730 0.730 0.296
0.944 0.465 0.944
0.944 0.944 0.465
0.262 0.262 0.262
0.439 0.439 0.439
```

Properties
Total moment, μB/f.u.: 0.00

=====

Name the least stable of them. version Q.